# 1
LiIr3 | GGA-PBEsol | optimized geometry

Cell lengths 2.679, 4.591, 4.623 Å; angles 97.55, 106.84, 90.00 degrees
Sites, in units of the cell vectors:
Ir  0.500  0.500  0.000
Ir  0.242  0.751  0.484
Ir  0.758  0.249  0.516
Li  0.000  0.000  0.000

Raw total energy: -31.66 eV/cell


# 2
Li3Ir | GGA-PBEsol | optimized geometry

Cell lengths 4.706, 4.706, 4.706 Å; angles 90.00, 90.00, 90.00 degrees
Sites, in units of the cell vectors:
Ir  0.000  0.000  0.000
Ir  0.500  0.500  0.500
Li  0.750  0.500  0.000
Li  0.250  0.500  0.000
Li  0.000  0.750  0.500
Li  0.000  0.250  0.500
Li  0.500  0.000  0.250
Li  0.500  0.000  0.750

Raw total energy: -30.26 eV/cell


# 3
Li2Ir | GGA-PBEsol | optimized geometry

Cell lengths 2.596, 5.183, 6.536 Å; angles 101.52, 90.00, 104.50 degrees
Sites, in units of the cell vectors:
Ir  0.795  0.589  0.856
Ir  0.205  0.411  0.144
Li  0.472  0.945  0.166
Li  0.150  0.300  0.533
Li  0.850  0.700  0.467
Li  0.528  0.055  0.834

Raw total energy: -27.89 eV/cell


# 4
Li2MgIr | GGA-PBEsol | optimized geometry

Cell lengths 6.130, 6.130, 6.130 Å; angles 90.00, 90.00, 90.00 degrees
Sites, in units of the cell vectors:
Ir  0.747  0.747  0.747
Ir  0.253  0.253  0.747
Ir  0.253  0.747  0.253
Ir  0.747  0.253  0.253
Li  0.500  0.500  0.500
Li  0.000  0.500  0.500
Li  0.500  0.000  0.500
Li  0.500  0.500  0.000
Li  0.269  0.269  0.269
Li  0.731  0.731  0.269
Li  0.731  0.269  0.731
Li  0.269  0.731  0.731
Mg  0.000  0.000  0.000
Mg  0.500  0.000  0.000
Mg  0.000  0.500  0.000
Mg  0.000  0.000  0.500

Raw total energy: -63.46 eV/cell


# 5
Li2MgIr2 | GGA-PBEsol | optimized geometry

Cell lengths 3.761, 5.709, 5.709 Å; angles 90.00, 90.00, 90.00 degrees
Sites, in units of the cell vectors:
Mg  0.000  0.000  0.000
Mg  0.000  0.500  0.500
Ir  0.500  0.178  0.678
Ir  0.500  0.678  0.822
Ir  0.500  0.822  0.322
Ir  0.500  0.322  0.178
Li  0.000  0.380  0.880
Li  0.000  0.880  0.620
Li  0.000  0.620  0.120
Li  0.000  0.120  0.380

Raw total energy: -49.96 eV/cell


# 6
Li2MgIr | GGA-PBEsol | optimized geometry

Cell lengths 3.767, 3.767, 4.077 Å; angles 90.00, 90.00, 90.00 degrees
Sites, in units of the cell vectors:
Mg  0.500  0.500  0.500
Ir  0.000  0.000  0.500
Li  0.000  0.500  0.000
Li  0.500  0.000  0.000

Raw total energy: -15.58 eV/cell


# 7
LiMg4Ir | GGA-PBEsol | optimized geometry

Cell lengths 5.383, 5.383, 5.383 Å; angles 60.00, 60.00, 60.00 degrees
Sites, in units of the cell vectors:
Ir  0.750  0.750  0.750
Li  0.000  0.000  0.000
Mg  0.872  0.376  0.376
Mg  0.376  0.376  0.376
Mg  0.376  0.376  0.872
Mg  0.376  0.872  0.376

Raw total energy: -17.06 eV/cell


# 8
Li3MgIr | GGA-PBEsol | optimized geometry

Cell lengths 4.591, 4.591, 4.591 Å; angles 90.00, 90.00, 90.00 degrees
Sites, in units of the cell vectors:
Mg  0.500  0.500  0.500
Ir  0.000  0.000  0.000
Li  0.000  0.500  0.000
Li  0.000  0.000  0.500
Li  0.500  0.000  0.000

Energy above the most stable polymorph in this dataset: 0.000 eV per atom


# 9
LiMgIr | GGA-PBEsol | optimized geometry

Cell lengths 2.653, 4.325, 4.325 Å; angles 120.00, 90.00, 90.00 degrees
Sites, in units of the cell vectors:
Mg  0.381  0.667  0.333
Ir  0.951  0.000  0.000
Li  0.668  0.333  0.667

Energy above the most stable polymorph in this dataset: 0.000 eV per atom


# 10
Li2MgIr | GGA-PBEsol | optimized geometry

Cell lengths 2.856, 4.569, 4.836 Å; angles 101.11, 107.18, 90.00 degrees
Sites, in units of the cell vectors:
Mg  0.500  0.000  0.000
Ir  0.000  0.500  0.000
Li  0.261  0.284  0.521
Li  0.739  0.716  0.479

Raw total energy: -15.92 eV/cell


# 11
Li2MgIr | GGA-PBEsol | optimized geometry

Cell lengths 3.060, 4.340, 5.183 Å; angles 114.75, 107.17, 90.00 degrees
Sites, in units of the cell vectors:
Mg  0.500  0.000  0.000
Ir  0.000  0.500  0.000
Li  0.732  0.732  0.465
Li  0.268  0.268  0.535

Raw total energy: -15.91 eV/cell


# 12
LiMgIr | GGA-PBEsol | optimized geometry

Cell lengths 2.742, 2.742, 6.970 Å; angles 96.41, 96.41, 115.65 degrees
Sites, in units of the cell vectors:
Mg  0.344  0.344  0.689
Ir  0.003  0.003  0.005
Li  0.653  0.653  0.306

Energy above the most stable polymorph in this dataset: 0.129 eV per atom


Number 1: Fermi-level density of states 0.864 states/eV per atom. Number 2: Fermi-level density of states 0.474 states/eV per atom. Number 3: Fermi-level density of states 0.520 states/eV per atom. Number 4: Fermi-level density of states 0.385 states/eV per atom. Number 5: Fermi-level density of states 0.306 states/eV per atom. Number 6: Fermi-level density of states 0.489 states/eV per atom. Number 7: Fermi-level density of states 0.455 states/eV per atom. Number 8: Fermi-level density of states 0.402 states/eV per atom. Number 9: Fermi-level density of states 0.802 states/eV per atom. Number 10: Fermi-level density of states 0.656 states/eV per atom. Number 11: Fermi-level density of states 0.379 states/eV per atom. Number 12: Fermi-level density of states 0.560 states/eV per atom.